This record from Alexandria describes a geometry-optimized CaHf2Bi structure. The functional is GGA-PBEsol.

Cell lengths 5.998, 6.713, 6.713 Å; angles 78.49, 63.46, 63.46 degrees
Fractional positions:
Hf1 0.657 0.968 0.468
Ca1 0.250 0.500 0.500
Ca2 0.500 0.000 0.000
Bi1 0.750 0.500 0.500
Hf2 0.093 0.032 0.532
Bi2 0.000 0.000 0.000
Hf3 0.875 0.468 0.032
Hf4 0.375 0.532 0.968

* DOS(E_F): 9.15 states/eV/cell
* calculated volume: 108.2 Å³/f.u.
* ΔE_f: 0.494 eV/atom
* E_tot: -6.3624 eV/atom

This record from Alexandria describes a geometry-optimized Ca2HgBi2 structure. The functional is GGA-PBEsol.

Cell lengths 6.063, 6.444, 6.063 Å; angles 61.94, 90.00, 118.06 degrees
Fractional positions:
Bi1 0.341 0.681 0.659
Ca1 0.750 0.500 0.750
Bi2 0.659 0.319 0.341
Ca2 0.250 0.500 0.250
Hg1 0.000 0.000 0.000

* DOS(E_F): 1.66 states/eV/cell
* calculated volume: 176.9 Å³/f.u.
* ΔE_f: -0.419 eV/atom
* E_tot: -3.0994 eV/atom

This record from Alexandria describes a geometry-optimized CaHg2Bi2 structure. The functional is GGA-PBEsol.

Cell lengths 4.233, 4.233, 8.705 Å; angles 104.07, 104.07, 90.00 degrees
Fractional positions:
Bi1 0.407 0.407 0.813
Ca1 0.000 0.000 0.000
Bi2 0.593 0.593 0.187
Hg1 0.250 0.750 0.500
Hg2 0.750 0.250 0.500

* DOS(E_F): 2.98 states/eV/cell
* calculated volume: 146.4 Å³/f.u.
* ΔE_f: -0.215 eV/atom
* E_tot: -2.5828 eV/atom

This record from Alexandria describes a geometry-optimized Ca2HgBi structure. The functional is GGA-PBEsol.

Cell lengths 5.415, 5.415, 5.415 Å; angles 60.00, 60.00, 60.00 degrees
Fractional positions:
Bi1 0.500 0.500 0.500
Hg1 0.000 0.000 0.000
Ca1 0.750 0.750 0.750
Ca2 0.250 0.250 0.250

* DOS(E_F): 2.82 states/eV/cell
* calculated volume: 112.3 Å³/f.u.
* ΔE_f: -0.723 eV/atom
* E_tot: -3.0027 eV/atom

This record from Alexandria describes a geometry-optimized CaIn2Bi2 structure. The functional is GGA-PBEsol.

Cell lengths 4.285, 4.285, 8.810 Å; angles 104.07, 104.07, 90.00 degrees
Fractional positions:
Bi1 0.407 0.407 0.814
In1 0.250 0.750 0.500
Bi2 0.593 0.593 0.186
Ca1 0.000 0.000 0.000
In2 0.750 0.250 0.500

* DOS(E_F): 2.32 states/eV/cell
* calculated volume: 151.9 Å³/f.u.
* ΔE_f: -0.242 eV/atom
* E_tot: -3.5764 eV/atom

This record from Alexandria describes a geometry-optimized CaInBiSb2 structure. The functional is GGA-PBEsol.

Cell lengths 5.548, 5.901, 5.901 Å; angles 90.00, 90.00, 90.00 degrees
Fractional positions:
Sb1 0.000 0.500 0.000
Sb2 0.000 0.000 0.500
In1 0.500 0.000 0.000
Bi1 0.000 0.000 0.000
Ca1 0.500 0.500 0.500

* uncorrected formation energy: 0.356 eV per atom
* DOS(E_F): 3.26 states/eV/cell
* calculated volume: 193.2 Å³/f.u.
* E_tot: -3.3472 eV/atom

This record from Alexandria describes a geometry-optimized CaBi3Ir structure. The functional is GGA-PBEsol.

Cell lengths 5.496, 5.496, 5.496 Å; angles 90.00, 90.00, 90.00 degrees
Fractional positions:
Bi1 0.500 0.000 0.000
Bi2 0.000 0.500 0.000
Ca1 0.000 0.000 0.000
Bi3 0.000 0.000 0.500
Ir1 0.500 0.500 0.500

* DOS(E_F): 6.47 states/eV/cell
* calculated volume: 166.1 Å³/f.u.
* ΔE_f: 1.580 eV/atom
* E_tot: -3.3830 eV/atom

This record from Alexandria describes a geometry-optimized NaCaBiIr2 structure. The functional is GGA-PBEsol.

Cell lengths 4.540, 4.758, 4.758 Å; angles 90.00, 90.00, 90.00 degrees
Fractional positions:
Na1 0.000 0.000 0.000
Ir1 0.000 0.500 0.000
Bi1 0.500 0.500 0.500
Ir2 0.000 0.000 0.500
Ca1 0.500 0.000 0.000

* DOS(E_F): 1.75 states/eV/cell
* calculated volume: 102.8 Å³/f.u.
* ΔE_f: 1.182 eV/atom
* E_tot: -4.3111 eV/atom